Entry 1:
Compound: Pm4SnSbSe2
Source: Alexandria via LeMat-Bulk
Functional: GGA-PBE
Structure: optimized geometry

Structure (CIF):
```
data_Pm4SnSbSe2
_cell_length_a 7.529
_cell_length_b 4.369
_cell_length_c 7.562
_cell_angle_alpha 90.00
_cell_angle_beta 109.53
_cell_angle_gamma 90.00
_space_group_name_H-M_alt 'P 1 2/m 1'
_space_group_IT_number 10
loop_
_space_group_symop_operation_xyz
'x,y,z'
'-x,-y,-z'
'-x,y,-z'
'x,-y,z'
loop_
_atom_site_label
_atom_site_type_symbol
_atom_site_fract_x
_atom_site_fract_y
_atom_site_fract_z
Pm1 Pm 0.243 0.000 0.245
Pm2 Pm 0.243 0.500 0.749
Sn1 Sn 0.500 0.000 0.000
Sb1 Sb 0.500 0.500 0.500
Se1 Se 0.000 0.000 0.500
Se2 Se 0.000 0.500 0.000
```

Calculated values
Crystal system: monoclinic
Uncorrected formation energy in meV per atom: -1409.1
Total magnetization in μB per cell: 0.000
V in Å³ per atom: 29.3

***

Entry 2:
Compound: Y3Co7B2
Source: Alexandria via LeMat-Bulk
Functional: GGA-PBE
Structure: optimized geometry

Structure (CIF):
```
data_Y3Co7B2
_cell_length_a 5.0746
_cell_length_b 5.0746
_cell_length_c 21.2012
_cell_angle_alpha 90.00
_cell_angle_beta 90.00
_cell_angle_gamma 120.00
_space_group_name_H-M_alt 'R -3 m'
_space_group_IT_number 166
_space_group_name_Hall '-R 3 2"'
loop_
_atom_site_label
_atom_site_type_symbol
_atom_site_fract_x
_atom_site_fract_y
_atom_site_fract_z
Y1 Y 0.0000 0.0000 0.0000
Y2 Y 0.0000 0.0000 0.1439
Co1 Co 0.0000 0.0000 0.5000
Co2 Co 0.0044 0.5022 0.0683
B1 B 0.0000 0.0000 0.3323
```

Calculated values
Crystal system: trigonal
Total magnetization in μB per cell: 9.915
V in Å³ per atom: 13.1
Energy of formation in eV/f.u.: -3.92

***

Entry 3:
Compound: GaCuHRu2
Source: Alexandria via LeMat-Bulk
Functional: GGA-PBE
Structure: optimized geometry

Structure (CIF):
```
data_GaCuHRu2
_cell_length_a 4.094
_cell_length_b 4.094
_cell_length_c 3.387
_cell_angle_alpha 90.00
_cell_angle_beta 90.00
_cell_angle_gamma 90.00
_space_group_name_H-M_alt 'P 4/m m m'
_space_group_IT_number 123
_space_group_name_Hall '-P 4 2'
loop_
_atom_site_label
_atom_site_type_symbol
_atom_site_fract_x
_atom_site_fract_y
_atom_site_fract_z
Ga1 Ga 0.000 0.000 0.000
Cu1 Cu 0.500 0.500 0.000
H1 H 0.500 0.500 0.500
Ru1 Ru 0.000 0.500 0.500
```

Calculated values
Crystal system: tetragonal
Total magnetization in μB per cell: 0.328
V in Å³ per atom: 11.4
Electronic total energy in eV per cell: -28.735

***

Entry 4:
Compound: LiYF
Source: Alexandria via LeMat-Bulk
Functional: GGA-PBE
Structure: optimized geometry

Structure (CIF):
```
data_LiYF
_cell_length_a 6.067
_cell_length_b 3.510
_cell_length_c 10.365
_cell_angle_alpha 90.00
_cell_angle_beta 101.19
_cell_angle_gamma 90.00
_space_group_name_H-M_alt 'C 1 2/m 1'
_space_group_IT_number 12
loop_
_space_group_symop_operation_xyz
'x,y,z'
'-x,-y,-z'
'-x,y,-z'
'x,-y,z'
'x+1/2,y+1/2,z'
'-x+1/2,-y+1/2,-z'
'-x+1/2,y+1/2,-z'
'x+1/2,-y+1/2,z'
loop_
_atom_site_label
_atom_site_type_symbol
_atom_site_fract_x
_atom_site_fract_y
_atom_site_fract_z
Li1 Li 0.135 0.000 0.405
Y1 Y 0.216 0.500 0.147
F1 F 0.200 0.000 0.601
```

Calculated values
Crystal system: monoclinic
Uncorrected formation energy in meV per atom: -1744.9
Total magnetization in μB per cell: 0.063
V in Å³ per atom: 18.0

***

Entry 5:
Compound: MgCN2F
Source: Alexandria via LeMat-Bulk
Functional: GGA-PBE
Structure: optimized geometry

Structure (CIF):
```
data_MgCN2F
_cell_length_a 4.300
_cell_length_b 4.300
_cell_length_c 3.663
_cell_angle_alpha 90.00
_cell_angle_beta 90.00
_cell_angle_gamma 90.00
_space_group_name_H-M_alt 'P 4/m m m'
_space_group_IT_number 123
_space_group_name_Hall '-P 4 2'
loop_
_atom_site_label
_atom_site_type_symbol
_atom_site_fract_x
_atom_site_fract_y
_atom_site_fract_z
Mg1 Mg 0.000 0.000 0.000
C1 C 0.500 0.500 0.500
N1 N 0.000 0.500 0.000
F1 F 0.000 0.000 0.500
```

Calculated values
Crystal system: tetragonal
Uncorrected formation energy in meV per atom: 1873.0
Total magnetization in μB per cell: 3.003
V in Å³ per atom: 13.5

***

Entry 6:
Compound: TaCd2Te
Source: Alexandria via LeMat-Bulk
Functional: GGA-PBE
Structure: optimized geometry

Structure (CIF):
```
data_TaCd2Te
_cell_length_a 5.845
_cell_length_b 9.781
_cell_length_c 3.075
_cell_angle_alpha 90.00
_cell_angle_beta 90.00
_cell_angle_gamma 90.00
_space_group_name_H-M_alt 'C m m m'
_space_group_IT_number 65
_space_group_name_Hall '-C 2 2'
loop_
_atom_site_label
_atom_site_type_symbol
_atom_site_fract_x
_atom_site_fract_y
_atom_site_fract_z
Ta1 Ta 0.000 0.000 0.000
Cd1 Cd 0.250 0.250 0.500
Te1 Te 0.000 0.500 0.000
```

Calculated values
Crystal system: orthorhombic
Uncorrected formation energy in meV per atom: 398.5
Total magnetization in μB per cell: 0.000
V in Å³ per atom: 22.0